Record 1
A plane-wave DFT calculation with GGA-PBE was carried out for a relaxed structure of Ca2BS4.

Lattice parameters (Å, degrees): 6.5945 5.4975 8.0803 90.00 105.83 90.00
Closest atoms and distances in Å follow each position.
Space group P2_1/m (No. 11)
One atom of each set of equivalent atoms:
Ca (0.2215, 0.2500, 0.4413) (multiplicity 2)  7 S 2.91-2.98
Ca (0.2554, 0.2500, 0.9452) (multiplicity 2)  8 S 2.81-3.02
B (0.2535, 0.7500, 0.1939) (multiplicity 2)  4 S 1.89-1.98
S (0.0816, 0.7500, 0.3549) (multiplicity 2)  1 B 1.94
S (0.1256, 0.7500, 0.9543) (multiplicity 2)  1 B 1.89
S (0.4821, 0.5066, 0.2598) (multiplicity 4)  1 B 1.98

Results
Size of the total moment in μB per cell: 0.20
Formation energy from raw total energies in eV/atom: -1.244
Final energy in eV/atom: -5.1286

***

Record 2
A plane-wave DFT calculation with GGA-PBE was carried out for a relaxed structure of CaBS3.

Lattice parameters (Å, degrees): 5.3258 5.3258 5.3258 90.00 90.00 90.00
Closest atoms and distances in Å follow each position.
Space group Pm-3m (No. 221)
One atom of each set of equivalent atoms:
Ca (0.0000, 0.0000, 0.0000) (multiplicity 1)  6 S 2.66
B (0.5000, 0.5000, 0.5000) (multiplicity 1)  12 S 3.77
S (0.0000, 0.0000, 0.5000) (multiplicity 3)  2 Ca 2.66

Results
Size of the total moment in μB per cell: 3.00
Formation energy from raw total energies in eV/atom: 1.098
Final energy in eV/atom: -3.1144

***

Record 3
A plane-wave DFT calculation with GGA-PBE was carried out for a relaxed structure of CaB2S4.

Lattice parameters (Å, degrees): 11.2526 11.2526 11.2526 90.00 90.00 90.00
Closest atoms and distances in Å follow each position.
Space group Pa-3 (No. 205)
One atom of each set of equivalent atoms:
Ca (0.0000, 0.0000, 0.0000) (multiplicity 4)  12 S 3.26-3.27
Ca (0.1270, 0.6270, 0.8730) (multiplicity 8)  6 S 2.88-2.94
B (0.1283, 0.1930, 0.3531) (multiplicity 24)  4 S 1.92-1.97
S (0.0195, 0.0842, 0.2770) (multiplicity 24)  2 B 1.93-1.97
S (0.1274, 0.1498, 0.7868) (multiplicity 24)  2 B 1.92-1.93

Results
Size of the total moment in μB per cell: 0.00
Formation energy from raw total energies in eV/atom: -0.885
Final energy in eV/atom: -5.4377

***

Record 4
A plane-wave DFT calculation with GGA-PBE was carried out for a relaxed structure of CaSi2BS6.

Lattice parameters (Å, degrees): 12.8537 10.5256 7.6673 90.00 121.07 90.00
Closest atoms and distances in Å follow each position.
Space group C2/c (No. 15)
One atom of each set of equivalent atoms:
Ca (0.0000, 0.1717, 0.2500) (multiplicity 4)  6 S 2.83-3.10
Si (0.2024, 0.4347, 0.1171) (multiplicity 8)  3 S 2.10-2.19
B (0.0000, 0.1838, 0.7500) (multiplicity 4)  4 S 1.92-1.96
S (0.0968, 0.2608, 0.0141) (multiplicity 8)  1 B 1.92
S (0.1003, 0.0794, 0.6828) (multiplicity 8)  1 B 1.96, 1 Si 2.19
S (0.1611, 0.4321, 0.3865) (multiplicity 8)  1 Si 2.10

Results
Size of the total moment in μB per cell: 0.00
Formation energy from raw total energies in eV/atom: -0.609
Final energy in eV/atom: -5.0377

***

Record 5
A plane-wave DFT calculation with GGA-PBE was carried out for a relaxed structure of Ca2TiBS.

Lattice parameters (Å, degrees): 5.4102 5.4102 4.0138 90.00 90.00 90.00
Closest atoms and distances in Å follow each position.
Space group P4/mmm (No. 123)
One atom of each set of equivalent atoms:
Ca (0.0000, 0.5000, 0.0000) (multiplicity 2)  2 S 2.71
Ti (0.0000, 0.0000, 0.5000) (multiplicity 1)  8 Ca 3.37
B (0.5000, 0.5000, 0.5000) (multiplicity 1)  2 S 2.01
S (0.5000, 0.5000, 0.0000) (multiplicity 1)  2 B 2.01

Results
Size of the total moment in μB per cell: 3.25
Formation energy from raw total energies in eV/atom: 0.488
Final energy in eV/atom: -4.0521

***

Record 6
A plane-wave DFT calculation with GGA-PBE was carried out for a relaxed structure of CaTiBS2.

Lattice parameters (Å, degrees): 5.0495 5.0495 4.4679 90.00 90.00 90.00
Closest atoms and distances in Å follow each position.
Space group P4/mmm (No. 123)
One atom of each set of equivalent atoms:
Ca (0.0000, 0.0000, 0.0000) (multiplicity 1)  2 B 2.23
Ti (0.5000, 0.5000, 0.5000) (multiplicity 1)  8 S 3.37, 4 B 3.57
B (0.0000, 0.0000, 0.5000) (multiplicity 1)  2 Ca 2.23
S (0.0000, 0.5000, 0.0000) (multiplicity 2)  2 Ca 2.52

Results
Size of the total moment in μB per cell: 0.20
Formation energy from raw total energies in eV/atom: 0.956
Final energy in eV/atom: -4.0094